(1)
The following is a DFT calculation (GGA-PBE) of AcThNi2 after structural relaxation.

## Properties
* symmetry: P2_1/m, No. 11
* energy relative to the elements: -0.2489 eV/atom

The structure in POSCAR format:
```
AcThNi2
1.0
4.6818 0.0000 0.0001
-0.0001 5.8194 -1.7665
0.0001 -0.2804 7.4120
Ni Ac Th
4 2 2
Cartesian
3.5114 0.7913 5.4300
3.5114 1.9996 2.8391
1.1704 3.5393 2.8065
1.1704 4.7476 0.2155
1.1704 1.6006 0.4162
3.5114 3.9383 5.2293
1.1705 1.0617 4.0774
3.5113 4.4772 1.5681
```

(2)
The following is a DFT calculation (GGA-PBE) of Ac2ThNi2 after structural relaxation.

## Properties
* symmetry: C2/c, No. 15
* energy relative to the elements: -0.2702 eV/atom

The structure in POSCAR format:
```
Ac2ThNi2
1.0
6.7037 0.0000 0.0000
-3.3519 5.6290 -0.7907
0.0000 -0.3546 7.3675
Ac Th Ni
4 2 4
Cartesian
4.0133 1.5077 4.5480
0.6614 3.5893 5.7126
2.6904 1.6851 0.8642
-0.6614 3.7666 2.0289
6.2310 -0.0887 1.8419
0.4727 -0.2660 5.5257
-2.2818 3.6290 6.7761
1.0701 1.4681 3.4845
2.2818 3.8063 3.0923
5.6336 1.6454 -0.1992
```

(3)
The following is a DFT calculation (GGA-PBE) of AcThNi2 after structural relaxation.

## Properties
* symmetry: R3m, No. 160
* energy relative to the elements: -0.1930 eV/atom

The structure in POSCAR format:
```
AcThNi2
1.0
-3.1459 2.4026 -0.8210
-2.9636 0.4478 2.7129
1.4347 6.4790 3.5099
Ni Th Ac
2 1 1
Cartesian
-1.2603 2.1864 1.2744
0.6471 5.2245 2.8566
-2.6635 8.3390 4.7501
-2.3005 4.7234 2.7314
```

(4)
The following is a DFT calculation (GGA-PBE) of AcTiNi after structural relaxation.

## Properties
* symmetry: Amm2, No. 38
* energy relative to the elements: 0.2542 eV/atom

The structure in POSCAR format:
```
AcTiNi
1.0
3.5413 0.0000 0.0000
-1.7706 3.3627 0.0000
0.0000 0.0000 12.0720
Ni Ti Ac
2 2 2
Cartesian
0.0000 1.9360 6.0360
1.7706 0.7467 0.0000
0.0000 1.9283 10.7690
0.0000 1.9283 1.3030
1.7706 0.6533 8.0760
1.7706 0.6533 3.9960
```

(5)
The following is a DFT calculation (GGA-PBE) of AcTiNi4 after structural relaxation.

## Properties
* symmetry: F-43m, No. 216
* energy relative to the elements: -0.0910 eV/atom

The structure in POSCAR format:
```
AcTiNi4
1.0
-2.9318 -0.7747 4.0444
1.6633 -2.8687 3.8153
1.1899 2.1265 4.4289
Ni Ti Ac
4 1 1
Cartesian
1.4002 -0.5630 5.6636
-0.6372 -1.9971 5.4736
-0.0490 -0.9459 7.6628
-0.8712 0.4721 5.7769
-0.0196 -0.3792 3.0721
0.0000 0.0000 0.0000
```

(6)
The following is a DFT calculation (GGA-PBE) of Ac4TlNi after structural relaxation.

## Properties
* symmetry: F-43m, No. 216
* energy relative to the elements: -0.2008 eV/atom

The structure in POSCAR format:
```
Ac4TlNi
1.0
-4.1820 -4.6309 8.5268
2.7913 3.2249 9.6669
-6.9118 5.2625 6.0146
Ac Tl Ni
16 4 4
Cartesian
0.1941 2.7398 10.5787
-2.4235 -0.1586 15.9156
-5.8790 4.0151 8.2927
-8.4966 1.1167 13.6296
-5.1746 1.6213 20.4776
-7.2792 4.1634 15.8349
-6.2151 5.3927 19.5199
-3.5804 3.3866 17.2272
-6.2386 0.3920 16.7925
-4.1705 -2.1771 9.8651
-6.0136 3.5835 12.0897
-3.3519 1.5569 9.7735
-8.8734 2.3981 19.0853
-4.1320 6.0336 14.3432
-4.9624 -0.2264 13.0572
-2.2770 2.7989 13.4962
-1.4105 0.6552 4.1127
-0.5160 1.6886 7.2104
-2.7506 -0.8288 6.8451
-3.6253 2.3415 6.0401
-3.2459 4.3330 11.0405
-2.0727 0.0808 12.1203
-6.2431 0.9565 10.5505
-5.0433 2.3426 14.7053
```

(7)
The following is a DFT calculation (GGA-PBE) of Ac4TlNi2 after structural relaxation.

## Properties
* symmetry: C2/m, No. 12
* energy relative to the elements: -0.1616 eV/atom

The structure in POSCAR format:
```
Ac4TlNi2
1.0
4.2576 0.0000 -0.8523
-0.4549 7.2675 -2.2723
-0.4368 -1.2151 8.8786
Ac Ni Tl
4 2 1
Cartesian
1.1828 -0.7672 5.9088
2.1831 6.8196 -0.1548
3.0744 2.9262 4.2976
0.2915 3.1262 1.4564
0.7383 1.1751 3.6880
2.6277 4.8773 2.0660
1.9014 3.6338 -1.5623
```

(8)
The following is a DFT calculation (GGA-PBE) of Ac2TlNi after structural relaxation.

## Properties
* symmetry: Imm2, No. 44
* energy relative to the elements: -0.1670 eV/atom

The structure in POSCAR format:
```
Ac2TlNi
1.0
-2.6423 -3.7114 -0.8486
-0.2849 -1.4045 -5.6380
3.0434 -4.7080 -1.5532
Tl Ac Ni
1 2 1
Cartesian
0.1974 -2.6231 -1.8033
-0.3270 -1.4812 -5.1760
0.4445 -5.1769 -4.0593
-0.4255 -6.8591 -6.6590
```

(9)
The following is a DFT calculation (GGA-PBE) of Ac2TlNi after structural relaxation.

## Properties
* symmetry: R-3m, No. 166
* energy relative to the elements: 0.3794 eV/atom

The structure in POSCAR format:
```
Ac2TlNi
1.0
3.8113 0.0000 0.0000
1.9056 3.3007 0.0000
1.9056 1.1002 10.7904
Ni Ac Tl
1 2 1
Cartesian
0.0000 0.0000 0.0000
1.9056 1.1002 8.1435
5.7169 3.3007 2.6469
3.8113 2.2004 5.3952
```

(10)
The following is a DFT calculation (GGA-PBE) of Ac11Tl9Ni4 after structural relaxation.

## Properties
* symmetry: Cmmm, No. 65
* energy relative to the elements: -0.3404 eV/atom

The structure in POSCAR format:
```
Ac11Tl9Ni4
1.0
4.0097 0.0000 0.0000
0.0000 13.1135 -5.5593
0.0000 0.0414 14.2432
Ac Tl Ni
11 9 4
Cartesian
0.0000 4.1176 2.7181
0.0000 1.1474 5.4897
0.0000 7.6560 9.7861
0.0000 0.0000 0.0000
0.0000 10.9770 -2.3227
0.0000 4.9422 6.8192
0.0000 5.4989 -1.1022
0.0000 2.1779 11.0067
0.0000 12.0075 3.1942
0.0000 8.2127 1.8647
0.0000 9.0373 5.9658
2.0048 4.8417 9.9319
2.0048 6.5775 4.3420
2.0048 2.1194 8.1348
2.0048 1.0376 2.6813
2.0048 10.2817 8.7835
2.0048 11.0355 0.5491
2.0048 12.1174 6.0027
2.0048 8.3132 -1.2480
2.0048 2.8733 -0.0996
2.0048 3.2852 4.9915
2.0048 9.8698 3.6924
2.0048 5.8809 1.0593
2.0048 7.2740 7.6247
```

(11)
The following is a DFT calculation (GGA-PBE) of Ac4TlNi2 after structural relaxation.

## Properties
* symmetry: R-3m, No. 166
* energy relative to the elements: -0.0996 eV/atom

The structure in POSCAR format:
```
Ac4TlNi2
1.0
-0.3412 -4.2332 3.0289
-2.2433 -4.3405 -1.8271
7.7119 -5.9036 -2.8902
Ac Ni Tl
4 2 1
Cartesian
0.3488 -9.6157 0.0759
0.1099 -3.2030 0.0277
5.0175 -11.2743 -1.7161
4.7787 -4.8616 -1.7643
5.1559 -8.1595 -1.8392
-0.0285 -6.3178 0.1508
2.5637 -7.2386 -0.8442
```

(12)
The following is a DFT calculation (GGA-PBE) of Ac6Tl2Ni after structural relaxation.

## Properties
* symmetry: P2_1/c, No. 14
* energy relative to the elements: -0.1862 eV/atom

The structure in POSCAR format:
```
Ac6Tl2Ni
1.0
-5.0320 -0.7493 5.6658
-5.5922 -2.0432 -5.2369
3.0816 -11.0214 1.0093
Tl Ac Ni
4 12 2
Cartesian
-2.6096 -3.9275 -2.5154
-1.9364 -3.2624 2.5090
-5.6063 -10.5514 -1.0709
-4.9330 -9.8863 3.9535
-4.6532 -6.9481 -2.0000
-6.2724 -7.8913 1.5321
-9.3289 -5.5132 0.2346
-4.9992 -12.6036 1.9268
-1.5377 -11.5494 3.9062
1.7862 -8.3006 1.2035
-2.5947 -9.6711 0.4135
-1.2702 -5.9226 -0.0940
-6.0050 -2.2645 -2.4681
-2.8894 -6.8657 3.4381
-2.5435 -1.2103 -0.4887
-4.9479 -4.1427 1.0246
1.5408 -5.5107 0.5046
-5.3121 -1.3962 0.2144
```

(13)
The following is a DFT calculation (GGA-PBE) of Ac8TlNi2 after structural relaxation.

## Properties
* symmetry: Cm, No. 8
* energy relative to the elements: -0.0560 eV/atom

The structure in POSCAR format:
```
Ac8TlNi2
1.0
-0.1882 -6.0229 -0.9680
5.5788 1.9879 -6.3327
3.4112 -0.2426 7.9676
Ac Tl Ni
8 1 2
Cartesian
4.8904 -4.5706 -3.8162
3.4890 -0.5037 0.4503
6.7755 -1.4190 2.7534
1.5173 -3.4244 1.6433
5.3724 -3.7630 0.2274
7.3393 -0.8389 -0.9661
3.7775 -5.7157 3.5257
2.0810 -2.8444 -2.0756
0.0293 -0.0051 0.0037
3.9764 -2.5959 3.3102
4.8773 -1.6688 -2.6333
```

(14)
The following is a DFT calculation (GGA-PBE) of Ac4TlNi after structural relaxation.

## Properties
* symmetry: P4/mmm, No. 123
* energy relative to the elements: -0.0102 eV/atom

The structure in POSCAR format:
```
Ac4TlNi
1.0
5.3626 0.0000 0.0000
0.0000 5.3626 0.0000
0.0000 0.0000 7.9581
Ni Ac Tl
1 4 1
Cartesian
2.6813 2.6813 3.9791
2.6813 0.0000 2.1901
0.0000 2.6813 2.1901
2.6813 0.0000 5.7680
0.0000 2.6813 5.7680
0.0000 0.0000 0.0000
```

(15)
The following is a DFT calculation (GGA-PBE) of Ac5Tl2Ni2 after structural relaxation.

## Properties
* symmetry: Cmce, No. 64
* energy relative to the elements: -0.2130 eV/atom

The structure in POSCAR format:
```
Ac5Tl2Ni2
1.0
9.3164 0.0000 0.0000
0.0000 7.5521 0.0000
0.0000 -3.7760 8.4886
Tl Ac Ni
4 10 4
Cartesian
0.0000 0.0000 3.6091
0.0000 3.7760 4.8795
4.6582 3.7760 3.6091
4.6582 0.0000 4.8795
1.6511 -1.1173 6.4497
3.0072 6.4348 2.0388
3.0072 2.6587 6.4497
4.6582 3.7760 0.0000
7.6654 4.8933 2.0388
6.3093 1.1173 2.0388
0.0000 0.0000 0.0000
7.6654 1.1173 6.4497
1.6511 2.6587 2.0388
6.3093 -2.6587 6.4497
5.5541 6.6039 0.0000
3.7623 0.9481 0.0000
0.8959 4.7241 0.0000
8.4205 2.8279 0.0000
```

(16)
The following is a DFT calculation (GGA-PBE) of Ac6TlNi3 after structural relaxation.

## Properties
* symmetry: P2_1/m, No. 11
* energy relative to the elements: -0.1880 eV/atom

The structure in POSCAR format:
```
Ac6TlNi3
1.0
4.2493 0.0000 0.0000
0.0000 12.1323 -3.7194
0.0000 -0.0704 13.1128
Ac Ni Tl
12 6 2
Cartesian
1.0623 10.2642 3.7795
3.1870 4.6857 -0.7621
1.0623 2.4388 2.3437
3.1870 11.1284 -2.3412
1.0623 0.9335 11.7345
1.0623 7.3762 10.1554
3.1870 8.4886 0.7382
3.1870 5.8280 6.2685
1.0623 6.2338 3.1248
3.1870 1.7977 5.6138
3.1870 9.6231 7.0497
1.0623 3.5733 8.6552
3.1870 1.8361 0.5035
3.1870 5.5278 9.2942
1.0623 6.5341 0.0992
1.0623 10.2258 8.8899
3.1870 8.0957 3.9315
1.0623 3.9662 5.4619
3.1870 0.6231 8.8937
1.0623 11.4388 0.4996
```

(17)
The following is a DFT calculation (GGA-PBE) of Ac2Tl8Ni after structural relaxation.

## Properties
* symmetry: P4/mmm, No. 123
* energy relative to the elements: -0.1752 eV/atom

The structure in POSCAR format:
```
Ac2Tl8Ni
1.0
-1.5882 -1.9954 -4.2228
-3.8628 -1.9460 2.3724
-7.0079 10.8650 -2.4982
Tl Ni Ac
8 1 2
Cartesian
-2.7344 0.2720 0.8999
-4.9005 1.4013 -1.7006
-6.9990 8.6223 -4.3234
-4.2981 4.4348 -3.3605
-1.5971 0.2473 -2.3977
-5.4354 4.4595 -0.0629
-7.5585 5.5223 -2.6481
-8.1363 8.6470 -1.0258
0.0000 0.0000 0.0000
-2.1047 3.2632 -0.7503
-4.9032 7.6018 -1.7479
```

(18)
The following is a DFT calculation (GGA-PBE) of Ac6Tl3Ni2 after structural relaxation.

## Properties
* symmetry: I4/mmm, No. 139
* energy relative to the elements: -0.1924 eV/atom

The structure in POSCAR format:
```
Ac6Tl3Ni2
1.0
5.5652 0.0000 0.0000
0.0000 5.5652 0.0000
-2.7826 -2.7826 12.4462
Ni Tl Ac
2 3 6
Cartesian
0.0000 0.0000 11.2200
2.7826 2.7826 1.2263
0.0000 0.0000 4.1738
0.0000 0.0000 0.0000
2.7826 2.7826 8.2724
0.0000 0.0000 7.4554
0.0000 2.7826 2.0032
2.7826 0.0000 2.0032
2.7826 0.0000 10.4430
2.7826 2.7826 4.9908
0.0000 2.7826 10.4430
```

(19)
The following is a DFT calculation (GGA-PBE) of Ac4Tl2Ni after structural relaxation.

## Properties
* symmetry: P2_1/m, No. 11
* energy relative to the elements: -0.2371 eV/atom

The structure in POSCAR format:
```
Ac4Tl2Ni
1.0
6.7254 0.0000 -0.7706
0.0000 7.4504 0.0000
-3.3635 0.0000 10.3659
Tl Ac Ni
4 8 2
Cartesian
3.1160 5.5878 5.2192
-1.0567 1.8626 9.6350
0.2458 1.8626 4.3760
4.4185 5.5878 -0.0398
1.0000 3.7033 7.3318
1.0000 0.0219 7.3318
-0.7629 5.5878 4.0539
4.1248 1.8626 5.5413
2.3618 3.7471 2.2634
2.3618 7.4285 2.2634
-2.3256 5.5878 9.2363
5.6874 1.8626 0.3589
0.2354 5.5878 1.5028
3.1264 1.8626 8.0925
```

(20)
The following is a DFT calculation (GGA-PBE) of Ac7Tl2Ni2 after structural relaxation.

## Properties
* symmetry: Imm2, No. 44
* energy relative to the elements: -0.1539 eV/atom

The structure in POSCAR format:
```
Ac7Tl2Ni2
1.0
4.0424 0.0000 0.8670
1.0995 9.1111 4.7311
-0.0980 -0.4500 10.3147
Ac Tl Ni
7 2 2
Cartesian
3.1130 9.0497 5.2005
2.9621 4.4359 5.9039
0.5925 1.3137 7.0952
1.3727 5.8399 13.3151
3.9427 3.2853 11.1898
3.3455 0.2209 4.1162
2.3327 6.2287 8.8389
1.4498 2.8562 3.0979
3.8210 7.6161 11.7572
2.3718 3.1318 8.6564
0.8403 7.0414 5.9398
```

(21)
The following is a DFT calculation (GGA-PBE) of Ac4Tl2Ni after structural relaxation.

## Properties
* symmetry: C2/m, No. 12
* energy relative to the elements: -0.2582 eV/atom

The structure in POSCAR format:
```
Ac4Tl2Ni
1.0
-4.2438 -1.3612 -2.0404
-2.4193 -5.7851 3.0039
-6.0896 2.3418 5.2158
Ac Ni Tl
4 1 2
Cartesian
-10.3076 -2.9565 5.7485
-8.0002 -5.0600 2.3528
-4.7524 0.2555 3.8265
-2.4451 -1.8480 0.4309
0.0000 0.0000 0.0000
-5.7145 -2.2307 1.5987
-7.0381 -2.5738 4.5806
```